32
Lattice="3.5043 -4.9670 0.0000 3.5043 4.9670 0.0000 0.0000 0.0000 9.9501" Properties=species:S:1:pos:R:3 comment="TaCrCo6, single point on PBEsol structure, DFT SCAN" spacegroup="No. 65" ef_mev_per_atom=106 n_ef_per_ev_atom=0.703 pbc="T T T"
Ta 0.0000 0.0000 2.4779
Ta 0.0000 0.0000 7.4722
Ta 3.5043 2.5271 4.9750
Ta 3.5043 -2.5271 4.9750
Cr 3.5043 2.5299 0.0000
Cr 3.5043 0.0000 2.4848
Cr 3.5043 0.0000 7.4652
Cr 3.5043 -2.5299 0.0000
Co 0.0000 0.0000 0.0000
Co 0.0000 0.0000 4.9750
Co 1.8041 1.2722 1.1891
Co 1.8041 1.2722 8.7609
Co 1.8224 1.2157 3.6716
Co 1.8224 1.2157 6.2785
Co 3.5043 2.4309 2.3911
Co 3.5043 2.4309 7.5590
Co 1.8224 -1.2157 3.6716
Co 1.8224 -1.2157 6.2785
Co 1.8041 -1.2722 1.1891
Co 1.8041 -1.2722 8.7609
Co 3.5043 0.0000 0.0000
Co 3.5043 0.0000 4.9750
Co 5.2045 1.2722 1.1891
Co 5.2045 1.2722 8.7609
Co 5.1863 1.2157 3.6716
Co 5.1863 1.2157 6.2785
Co 3.5043 -2.4309 2.3911
Co 3.5043 -2.4309 7.5590
Co 5.1863 -1.2157 3.6716
Co 5.1863 -1.2157 6.2785
Co 5.2045 -1.2722 1.1891
Co 5.2045 -1.2722 8.7609


5
Lattice="5.4313 0.0000 0.0000 0.0000 5.4313 0.0000 0.0000 0.0000 5.3628" Properties=species:S:1:pos:R:3 comment="ZrSb2TeW, single point on PBEsol structure, DFT SCAN" spacegroup="No. 123" n_ef_per_ev_atom=0.778 formation_energy_uncorrected_ev_per_atom=1.371 pbc="T T T"
Zr 0.0000 0.0000 0.0000
Sb 0.0000 2.7156 0.0000
Sb 2.7156 0.0000 0.0000
Te 0.0000 0.0000 2.6814
W 2.7156 2.7156 2.6814


8
Lattice="6.4589 0.0000 0.0000 -3.2295 5.5936 0.0000 0.0000 0.0000 4.7217" Properties=species:S:1:pos:R:3 comment="ThAg3, single point on PBEsol structure, DFT SCAN" spacegroup="No. 194" ef_mev_per_atom=-29 n_ef_per_ev_atom=0.532 pbc="T T T"
Th 0.0000 3.7291 1.1804
Th 3.2295 1.8645 3.5413
Ag 0.0000 1.6592 3.5413
Ag -1.7926 4.7640 3.5413
Ag 1.4369 0.8296 1.1804
Ag 1.7926 4.7640 3.5413
Ag 5.0220 0.8296 1.1804
Ag 3.2295 3.9344 1.1804


64
Lattice="7.3531 0.0000 0.0000 0.0000 7.3531 0.0000 0.0000 0.0000 14.7234" Properties=species:S:1:pos:R:3 comment="LiFeSi4O10, single point on PBEsol structure, DFT SCAN" spacegroup="No. 130" n_ef_per_ev_atom=0.000 formation_energy_uncorrected_ev_per_atom=-2.695 relative_energy_ev_per_atom=0.064 pbc="T T T"
Li 1.8383 1.8383 0.8472
Li 1.8383 1.8383 8.2089
Li 5.5148 5.5148 6.5145
Li 5.5148 5.5148 13.8762
Fe 1.8383 5.5148 0.0000
Fe 1.8383 5.5148 7.3617
Fe 5.5148 1.8383 0.0000
Fe 5.5148 1.8383 7.3617
Si 0.1384 4.4806 2.1439
Si 0.1384 6.5491 9.5056
Si 0.8040 3.8149 5.2178
Si 0.8040 7.2148 12.5795
Si 2.8726 3.8149 12.5795
Si 2.8726 7.2148 5.2178
Si 3.5382 4.4806 9.5056
Si 3.5382 6.5491 2.1439
Si 3.8149 0.8040 12.5795
Si 3.8149 2.8726 5.2178
Si 4.4806 0.1384 9.5056
Si 4.4806 3.5382 2.1439
Si 6.5491 0.1384 2.1439
Si 6.5491 3.5382 9.5056
Si 7.2148 0.8040 5.2178
Si 7.2148 2.8726 12.5795
O 0.0695 1.2807 12.8238
O 0.0695 2.3958 5.4621
O 0.3333 4.9195 6.3089
O 0.3333 6.1102 13.6706
O 0.5869 4.2635 3.6808
O 0.5869 6.7662 11.0425
O 1.2429 4.0098 1.0528
O 1.2429 7.0198 8.4145
O 1.2807 0.0695 5.4621
O 1.2807 3.6070 12.8238
O 2.3958 0.0695 12.8238
O 2.3958 3.6070 5.4621
O 2.4336 4.0098 8.4145
O 2.4336 7.0198 1.0528
O 3.0896 4.2635 11.0425
O 3.0896 6.7662 3.6808
O 3.3433 4.9195 13.6706
O 3.3433 6.1102 6.3089
O 3.6070 1.2807 5.4621
O 3.6070 2.3958 12.8238
O 3.7461 4.9573 1.8996
O 3.7461 6.0724 9.2613
O 4.0098 1.2429 8.4145
O 4.0098 2.4336 1.0528
O 4.2635 0.5869 11.0425
O 4.2635 3.0896 3.6808
O 4.9195 0.3333 13.6706
O 4.9195 3.3433 6.3089
O 4.9573 3.7461 9.2613
O 4.9573 7.2836 1.8996
O 6.0724 3.7461 1.8996
O 6.0724 7.2836 9.2613
O 6.1102 0.3333 6.3089
O 6.1102 3.3433 13.6706
O 6.7662 0.5869 3.6808
O 6.7662 3.0896 11.0425
O 7.0198 1.2429 1.0528
O 7.0198 2.4336 8.4145
O 7.2836 4.9573 9.2613
O 7.2836 6.0724 1.8996


4
Lattice="3.4288 0.0000 0.0000 0.0000 3.4288 0.0000 0.0000 0.0000 8.6945" Properties=species:S:1:pos:R:3 comment="MgCdPb2, single point on PBEsol structure, DFT SCAN" spacegroup="No. 99" ef_mev_per_atom=-56 n_ef_per_ev_atom=0.404 relative_energy_ev_per_atom=0.000 pbc="T T T"
Mg 0.0000 0.0000 0.0000
Cd 1.7144 1.7144 1.7997
Pb 0.0000 0.0000 3.9810
Pb 1.7144 1.7144 6.5542


6
Lattice="2.8679 0.0000 0.0000 0.0000 3.9834 0.0000 0.0000 0.0000 8.5616" Properties=species:S:1:pos:R:3 comment="AlAg5, single point on PBEsol structure, DFT SCAN" spacegroup="No. 47" ef_mev_per_atom=-44 n_ef_per_ev_atom=0.251 relative_energy_ev_per_atom=0.024 pbc="T T T"
Al 0.0000 0.0000 0.0000
Ag 0.0000 0.0000 2.8296
Ag 0.0000 0.0000 5.7320
Ag 1.4339 1.9917 1.3821
Ag 1.4339 1.9917 4.2808
Ag 1.4339 1.9917 7.1794